VASP calculation (PBE) on a relaxed structure of MgGa2Ir2.

Calculated values
Its total energy is -55.4 eV per cell. For the excess energy over the best structure of this formula in the dataset, the calculation gives 7 meV/atom. The formation energy comes out at -464 meV per atom. For the volume, the calculation gives 157 Å³ per cell.

Cell: 7.2814 7.2814 2.9677 Å, 90.00 90.00 90.00°
Last column: nearest neighbours and their distance in Å.
Space group P4/mbm (No. 127)
One atom of each set of equivalent atoms:
Mg 0.0000 0.0000 0.0000 x2  4 Ir 2.78, 2 Mg 2.97
Ga 0.1495 0.3505 0.5000 x4  6 Ir 2.55-2.63
Ir 0.1486 0.6486 0.0000 x4  6 Ga 2.55-2.63, 2 Mg 2.78


VASP calculation (PBE) on a relaxed structure of Mg8GaIr2.

Calculated values
Its total energy is -72.7 eV per cell. The formation energy comes out at -261 meV per atom. For the volume, the calculation gives 413 Å³ per cell.

Cell: 14.7406 4.4896 6.8240 Å, 90.00 113.99 90.00°
Last column: nearest neighbours and their distance in Å.
Space group C2/m (No. 12)
One atom of each set of equivalent atoms:
Mg 0.0280 0.0000 0.2288 x4  1 Ir 2.70, 3 Mg 2.89-3.01
Mg 0.1230 0.5000 0.9472 x4  2 Ir 2.67, 1 Ga 2.85, 4 Mg 2.90-2.96
Mg 0.1723 0.0000 0.7395 x4  3 Ir 2.77-2.86, 5 Mg 2.85-3.05
Mg 0.1744 0.5000 0.4142 x4  3 Ir 2.72-2.92, 6 Mg 2.85-3.04, 1 Ga 2.86
Ga 0.0000 0.5000 0.5000 x2  8 Mg 2.85-3.04
Ir 0.1970 0.0000 0.1647 x4  9 Mg 2.67-2.92


VASP calculation (PBE) on a relaxed structure of MgNpGa2Ir2.

Calculated values
Its total energy is -40.8 eV per cell. The formation energy comes out at -415 meV per atom. For the volume, the calculation gives 106 Å³ per cell.

Cell: 4.3696 4.3696 6.4216 Å, 90.00 90.00 120.00°
Last column: nearest neighbours and their distance in Å.
Space group P-3m1 (No. 164)
One atom of each set of equivalent atoms:
Mg 0.0000 0.0000 0.0000 x1  6 Ga 2.82, 6 Ir 2.97
Np 0.0000 0.0000 0.5000 x1  6 Ir 3.01, 6 Ga 3.18, 2 Mg 3.21
Ga 0.3333 0.6667 0.1980 x2  4 Ir 2.54-2.84, 3 Mg 2.82
Ir 0.3333 0.6667 0.7559 x2  4 Ga 2.54-2.84


VASP calculation (PBE) on a relaxed structure of MgGaIrO2.

Calculated values
Its total energy is -23.7 eV per cell. For the volume, the calculation gives 77 Å³ per cell. The calculation puts the uncorrected formation energy at -0.060 eV/atom.

Cell: 3.7456 3.7456 5.5184 Å, 90.00 90.00 90.00°
Last column: nearest neighbours and their distance in Å.
Space group P4/mmm (No. 123)
One atom of each set of equivalent atoms:
Mg 0.0000 0.0000 0.0000 x1  4 O 1.87
Ga 0.5000 0.5000 0.5000 x1  4 Ir 2.65
Ir 0.0000 0.0000 0.5000 x1  4 Ga 2.65, 2 Mg 2.76
O 0.0000 0.5000 0.0000 x2  2 Mg 1.87


VASP calculation (PBE) on a relaxed structure of MgGaIrO6.

Calculated values
Its total energy is -109.9 eV per cell. For the volume, the calculation gives 200 Å³ per cell. The calculation puts the uncorrected formation energy at -1.301 eV/atom.

Cell: 5.0918 5.0918 8.9001 Å, 90.00 90.00 120.00°
Last column: nearest neighbours and their distance in Å.
Space group P-31c (No. 163)
One atom of each set of equivalent atoms:
Mg 0.0000 0.0000 0.0000 x2  6 O 2.14
Ga 0.3333 0.6667 0.2500 x2  6 O 1.99
Ir 0.3333 0.6667 0.7500 x2  6 O 1.93
O 0.0102 0.3552 0.6324 x12  1 Ir 1.93, 1 Ga 1.99, 1 Mg 2.14


VASP calculation (PBE) on a relaxed structure of Mg2PaGaIr2.

Calculated values
Its total energy is -74.4 eV per cell. The formation energy comes out at -624 meV per atom. For the volume, the calculation gives 229 Å³ per cell.

Cell: 3.9262 8.2928 7.0302 Å, 90.00 90.00 90.00°
Last column: nearest neighbours and their distance in Å.
Space group Pmc2_1 (No. 26)
One atom of each set of equivalent atoms:
Mg 0.0000 0.0741 0.0000 x2  5 Ir 2.87-3.06, 4 Mg 3.10-3.11, 1 Ga 3.15
Mg 0.5000 0.1731 0.3199 x2  4 Ir 2.73-2.83, 2 Ga 2.86
Pa 0.5000 0.4200 0.9157 x2  5 Ir 2.70-2.89
Ga 0.0000 0.2996 0.5761 x2  4 Ir 2.54-2.75
Ir 0.0000 0.3985 0.2035 x2  2 Ga 2.66-2.75, 4 Pa 2.82-2.89, 2 Mg 2.83
Ir 0.5000 0.1434 0.7128 x2  2 Ga 2.54, 1 Pa 2.70, 2 Mg 2.73-2.77


VASP calculation (PBE) on a relaxed structure of MgPaGaIr.

Calculated values
Its total energy is -48.6 eV per cell. For the excess energy over the best structure of this formula in the dataset, the calculation gives 86 meV/atom. The formation energy comes out at -329 meV per atom. For the volume, the calculation gives 167 Å³ per cell.

Cell: 3.9039 3.9039 10.9386 Å, 90.00 90.00 90.00°
Last column: nearest neighbours and their distance in Å.
Space group P4/nmm (No. 129, origin choice 2)
One atom of each set of equivalent atoms:
Mg 0.2500 0.7500 0.0000 x2  4 Ga 2.75, 4 Mg 2.76
Pa 0.2500 0.2500 0.3268 x2  5 Ir 2.90-2.91, 4 Ga 3.21
Ga 0.2500 0.2500 0.8235 x2  1 Ir 2.53, 4 Mg 2.75
Ir 0.2500 0.2500 0.5925 x2  1 Ga 2.53


VASP calculation (PBE) on a relaxed structure of MgPaGaIr.

Calculated values
Its total energy is -98.6 eV per cell. For the excess energy over the best structure of this formula in the dataset, the calculation gives 0 meV/atom. The formation energy comes out at -416 meV per atom. For the volume, the calculation gives 311 Å³ per cell.

Cell: 6.7730 6.7730 6.7730 Å, 90.00 90.00 90.00°
Last column: nearest neighbours and their distance in Å.
Space group F-43m (No. 216)
One atom of each set of equivalent atoms:
Mg 0.0000 0.0000 0.0000 x4  4 Ir 2.93, 4 Ga 2.93
Pa 0.0000 0.0000 0.5000 x4  4 Ir 2.93, 4 Ga 2.93
Ga 0.2500 0.2500 0.2500 x4  4 Pa 2.93, 4 Mg 2.93
Ir 0.2500 0.2500 0.7500 x4  4 Pa 2.93, 4 Mg 2.93


VASP calculation (PBE) on a relaxed structure of MgPaGa4Ir2.

Calculated values
Its total energy is -43.7 eV per cell. The formation energy comes out at -352 meV per atom. For the volume, the calculation gives 156 Å³ per cell.

Cell: 3.8053 3.8053 10.7986 Å, 90.00 90.00 90.00°
Last column: nearest neighbours and their distance in Å.
Space group P4/mmm (No. 123)
One atom of each set of equivalent atoms:
Mg 0.0000 0.0000 0.0000 x1  8 Ga 2.93
Pa 0.0000 0.0000 0.5000 x1  8 Ir 3.00
Ga 0.0000 0.5000 0.2062 x4  2 Ir 2.66, 4 Ga 2.69, 2 Mg 2.93
Ir 0.5000 0.5000 0.3777 x2  1 Ir 2.64, 4 Ga 2.66


VASP calculation (PBE) on a relaxed structure of Mg3Ga3Ir2Pd.

Calculated values
Its total energy is -40.2 eV per cell. The formation energy comes out at -382 meV per atom. For the volume, the calculation gives 144 Å³ per cell.

Cell: 7.4282 7.4282 3.0112 Å, 90.00 90.00 120.00°
Last column: nearest neighbours and their distance in Å.
Space group P-62m (No. 189)
One atom of each set of equivalent atoms:
Mg 0.0000 0.7136 0.0000 x3  2 Pd 2.61, 2 Ir 2.67, 2 Ga 2.91
Ga 0.0000 0.3788 0.5000 x3  4 Ir 2.77, 1 Pd 2.81, 6 Mg 2.91-2.95, 2 Ga 3.01
Ir 0.3333 0.6667 0.0000 x2  3 Mg 2.67, 6 Ga 2.77
Pd 0.0000 0.0000 0.5000 x1  6 Mg 2.61, 3 Ga 2.81


VASP calculation (PBE) on a relaxed structure of MgGaIrPd.

Calculated values
Its total energy is -83.8 eV per cell. For the excess energy over the best structure of this formula in the dataset, the calculation gives 25 meV/atom. The formation energy comes out at -567 meV per atom. For the volume, the calculation gives 238 Å³ per cell.

Cell: 6.1932 6.1932 6.1932 Å, 90.00 90.00 90.00°
Last column: nearest neighbours and their distance in Å.
Space group F-43m (No. 216)
One atom of each set of equivalent atoms:
Mg 0.0000 0.0000 0.0000 x4  4 Ir 2.68, 4 Pd 2.68
Ga 0.0000 0.0000 0.5000 x4  4 Ir 2.68, 4 Pd 2.68
Ir 0.2500 0.2500 0.2500 x4  4 Mg 2.68, 4 Ga 2.68
Pd 0.2500 0.2500 0.7500 x4  4 Mg 2.68, 4 Ga 2.68


VASP calculation (PBE) on a relaxed structure of MgGaIrPd.

Calculated values
Its total energy is -21.0 eV per cell. For the excess energy over the best structure of this formula in the dataset, the calculation gives 0 meV/atom. The formation energy comes out at -593 meV per atom. For the volume, the calculation gives 59 Å³ per cell.

Cell: 3.0727 4.3253 4.4617 Å, 90.00 90.00 90.00°
Last column: nearest neighbours and their distance in Å.
Space group Pmmm (No. 47)
One atom of each set of equivalent atoms:
Mg 0.0000 0.0000 0.0000 x1  4 Pd 2.65, 4 Ir 2.71
Ga 0.0000 0.5000 0.5000 x1  4 Ir 2.65, 4 Pd 2.71
Ir 0.5000 0.0000 0.5000 x1  4 Ga 2.65, 4 Mg 2.71
Pd 0.5000 0.5000 0.0000 x1  4 Mg 2.65, 4 Ga 2.71